No. 1
The following is a DFT calculation (PBE) of an optimized crystal structure of Ba2Li12Zn5.

## Properties
Density of states at the Fermi level, states/eV per atom: 0.787
SG: R-3m (166)
DFT formation energy, meV/atom: -64

Unit cell a=7.4522 b=7.4522 c=7.4522 alpha=84.40 beta=84.40 gamma=84.40
With the nearest neighbours (Å) after each atom.
Fractional coordinates of all 19 atoms:
1 Li 0.7287 0.2713 0.0000  4 Li 2.72-2.94, 2 Zn 2.77
2 Li 0.2713 0.7287 0.0000  4 Li 2.72-2.94, 2 Zn 2.77
3 Zn 0.5000 0.0000 0.0000  8 Li 2.74-2.77, 2 Zn 3.05
4 Li 0.0000 0.2713 0.7287  4 Li 2.72-2.94, 2 Zn 2.77
5 Li 0.0000 0.7287 0.2713  4 Li 2.72-2.94, 2 Zn 2.77
6 Zn 0.0000 0.5000 0.0000  8 Li 2.74-2.77, 2 Zn 3.05
7 Li 0.2713 0.0000 0.7287  4 Li 2.72-2.94, 2 Zn 2.77
8 Li 0.1074 0.6695 0.6695  3 Zn 2.74-2.82, 2 Li 2.94
9 Li 0.3305 0.3305 0.8926  3 Zn 2.74-2.82, 2 Li 2.94
10 Li 0.3305 0.8926 0.3305  3 Zn 2.74-2.82, 2 Li 2.94
11 Ba 0.3510 0.3510 0.3510  12 Li 3.45-3.74, 1 Zn 3.58
12 Zn 0.9028 0.9028 0.9028  4 Zn 2.74-3.05, 9 Li 2.82-3.04
13 Li 0.6695 0.1074 0.6695  3 Zn 2.74-2.82, 2 Li 2.94
14 Zn 0.0000 0.0000 0.5000  8 Li 2.74-2.77, 2 Zn 3.05
15 Li 0.7287 0.0000 0.2713  4 Li 2.72-2.94, 2 Zn 2.77
16 Li 0.6695 0.6695 0.1074  3 Zn 2.74-2.82, 2 Li 2.94
17 Li 0.8926 0.3305 0.3305  3 Zn 2.74-2.82, 2 Li 2.94
18 Zn 0.0972 0.0972 0.0972  4 Zn 2.74-3.05, 9 Li 2.82-3.04
19 Ba 0.6490 0.6490 0.6490  12 Li 3.45-3.74, 1 Zn 3.58

No. 2
The following is a DFT calculation (PBE) of an optimized crystal structure of Ba2LiZn2.

## Properties
Density of states at the Fermi level, states/eV per atom: 1.610
SG: I4/mmm (139)
DFT formation energy, meV/atom: -21

Unit cell a=6.5158 b=6.5158 c=6.2402 alpha=58.53 beta=58.53 gamma=90.00
With the nearest neighbours (Å) after each atom.
Fractional coordinates of all 5 atoms:
1 Zn 0.3550 0.3550 0.2899  1 Zn 2.44
2 Li 0.0000 0.0000 0.0000  2 Zn 2.99
3 Zn 0.6450 0.6450 0.7101  1 Zn 2.44
4 Ba 0.2500 0.7500 0.5000  4 Zn 3.38
5 Ba 0.7500 0.2500 0.5000  4 Zn 3.38

No. 3
The following is a DFT calculation (PBE) of an optimized crystal structure of BaLi4Zn.

## Properties
Density of states at the Fermi level, states/eV per atom: 0.833
SG: P2/m (10)
DFT formation energy, meV/atom: 157

Unit cell a=5.0412 b=5.0412 c=7.6217 alpha=89.97 beta=90.17 gamma=90.00
With the nearest neighbours (Å) after each atom.
Fractional coordinates of all 6 atoms:
1 Li 0.0006 0.4999 0.1811  1 Zn 2.43
2 Li 0.9994 0.5001 0.8189  1 Zn 2.43
3 Ba 0.5000 0.0000 0.0000  8 Li 3.82
4 Zn 0.0000 0.5000 0.5000  6 Li 2.43-2.52
5 Li 0.5000 0.5000 0.5000  2 Zn 2.52
6 Li 0.0000 0.0000 0.5000  2 Zn 2.52

No. 4
The following is a DFT calculation (PBE) of an optimized crystal structure of Ba4Li3Zn2.

## Properties
Density of states at the Fermi level, states/eV per atom: 0.870
SG: C2/m (12)
DFT formation energy, meV/atom: -45

Unit cell a=4.5845 b=8.2049 c=9.4908 alpha=106.80 beta=103.98 gamma=90.00
With the nearest neighbours (Å) after each atom.
Fractional coordinates of all 9 atoms:
1 Li 0.0924 0.2470 0.1848  2 Zn 2.81, 1 Li 3.05
2 Ba 0.5748 0.8573 0.1496  2 Zn 3.44-3.50, 4 Li 3.65-3.73
3 Zn 0.5992 0.4501 0.1984  4 Li 2.81-3.03
4 Ba 0.2365 0.7025 0.4729  3 Zn 3.58-3.60, 3 Li 3.82-3.89
5 Ba 0.4252 0.1427 0.8504  2 Zn 3.44-3.50, 4 Li 3.65-3.73
6 Li 0.9076 0.7530 0.8152  2 Zn 2.81, 1 Li 3.05
7 Zn 0.4008 0.5499 0.8016  4 Li 2.81-3.03
8 Ba 0.7635 0.2975 0.5271  3 Zn 3.58-3.60, 3 Li 3.82-3.89
9 Li 0.0000 0.5000 0.0000  4 Zn 3.03, 2 Li 3.05

No. 5
The following is a DFT calculation (PBE) of an optimized crystal structure of Ba2Li5Zn4.

## Properties
Density of states at the Fermi level, states/eV per atom: 0.673
SG: C2/m (12)
DFT formation energy, meV/atom: -104

Unit cell a=5.9506 b=7.6042 c=7.5913 alpha=68.88 beta=66.92 gamma=66.97
With the nearest neighbours (Å) after each atom.
Fractional coordinates of all 11 atoms:
1 Li 0.7023 0.2535 0.8460  4 Zn 2.67-2.91, 1 Li 2.95
2 Zn 0.2262 0.4355 0.1121  1 Zn 2.57, 3 Li 2.70-2.85
3 Zn 0.6109 0.9401 0.8380  2 Zn 2.57-2.60, 4 Li 2.67-2.74
4 Li 0.2977 0.7465 0.1540  4 Zn 2.67-2.91, 1 Li 2.95
5 Li 0.8018 0.7465 0.1540  4 Zn 2.67-2.91, 1 Li 2.95
6 Zn 0.7738 0.5645 0.8879  1 Zn 2.57, 3 Li 2.70-2.85
7 Li 0.0000 0.5000 0.5000  2 Zn 2.85, 4 Li 2.99
8 Zn 0.3891 0.0599 0.1620  2 Zn 2.57-2.60, 4 Li 2.67-2.74
9 Ba 0.2746 0.7867 0.6641  6 Zn 3.47-3.56, 2 Li 3.67
10 Li 0.1982 0.2535 0.8460  4 Zn 2.67-2.91, 1 Li 2.95
11 Ba 0.7254 0.2133 0.3359  6 Zn 3.47-3.56, 2 Li 3.67

No. 6
The following is a DFT calculation (PBE) of an optimized crystal structure of Ba3LiZn3.

## Properties
Density of states at the Fermi level, states/eV per atom: 0.953
SG: Cmcm (63)
DFT formation energy, meV/atom: -121

Unit cell a=5.0158 b=6.5460 c=15.2485 alpha=90.00 beta=90.00 gamma=112.53
With the nearest neighbours (Å) after each atom.
Fractional coordinates of all 14 atoms:
1 Ba 0.7660 0.5319 0.3962  6 Zn 3.49-3.62, 1 Li 3.58
2 Ba 0.2340 0.4681 0.8962  6 Zn 3.49-3.62, 1 Li 3.58
3 Li 0.5000 0.0000 0.0000  4 Zn 2.86
4 Ba 0.5234 0.0468 0.7500  7 Zn 3.43-3.73, 2 Li 3.82
5 Zn 0.9472 0.8944 0.5795  2 Zn 2.74-2.96, 2 Li 2.86
6 Zn 0.0528 0.1056 0.0795  2 Zn 2.74-2.96, 2 Li 2.86
7 Zn 0.8296 0.6593 0.7500  2 Zn 2.96
8 Zn 0.9472 0.8944 0.9205  2 Zn 2.74-2.96, 2 Li 2.86
9 Ba 0.4766 0.9532 0.2500  7 Zn 3.43-3.73, 2 Li 3.82
10 Zn 0.1704 0.3407 0.2500  2 Zn 2.96
11 Zn 0.0528 0.1056 0.4205  2 Zn 2.74-2.96, 2 Li 2.86
12 Li 0.5000 0.0000 0.5000  4 Zn 2.86
13 Ba 0.7660 0.5319 0.1038  6 Zn 3.49-3.62, 1 Li 3.58
14 Ba 0.2340 0.4681 0.6038  6 Zn 3.49-3.62, 1 Li 3.58

No. 7
The following is a DFT calculation (PBE) of an optimized crystal structure of BaLiZn2.

## Properties
Density of states at the Fermi level, states/eV per atom: 0.738
SG: Pnma (62)
DFT formation energy, meV/atom: -151

Unit cell a=4.3523 b=7.9697 c=12.0868 alpha=90.00 beta=90.00 gamma=90.00
With the nearest neighbours (Å) after each atom.
Fractional coordinates of all 16 atoms:
1 Li 0.2500 0.0711 0.4369  4 Zn 2.73-2.89, 2 Li 2.89
2 Ba 0.7500 0.7453 0.2938  8 Zn 3.36-3.75, 1 Li 3.57
3 Ba 0.2500 0.2547 0.7062  8 Zn 3.36-3.75, 1 Li 3.57
4 Ba 0.2500 0.7547 0.7938  8 Zn 3.36-3.75, 1 Li 3.57
5 Zn 0.7500 0.2665 0.4836  3 Zn 2.62-2.64, 3 Li 2.73-2.86
6 Zn 0.2500 0.4340 0.4264  3 Zn 2.62-2.64, 1 Li 2.89
7 Li 0.7500 0.9289 0.5631  4 Zn 2.73-2.89, 2 Li 2.89
8 Li 0.7500 0.4289 0.9369  4 Zn 2.73-2.89, 2 Li 2.89
9 Li 0.2500 0.5711 0.0631  4 Zn 2.73-2.89, 2 Li 2.89
10 Zn 0.2500 0.2335 0.9836  3 Zn 2.62-2.64, 3 Li 2.73-2.86
11 Zn 0.7500 0.0660 0.9264  3 Zn 2.62-2.64, 1 Li 2.89
12 Zn 0.2500 0.9340 0.0736  3 Zn 2.62-2.64, 1 Li 2.89
13 Zn 0.7500 0.7665 0.0164  3 Zn 2.62-2.64, 3 Li 2.73-2.86
14 Ba 0.7500 0.2453 0.2062  8 Zn 3.36-3.75, 1 Li 3.57
15 Zn 0.7500 0.5660 0.5736  3 Zn 2.62-2.64, 1 Li 2.89
16 Zn 0.2500 0.7335 0.5164  3 Zn 2.62-2.64, 3 Li 2.73-2.86

No. 8
The following is a DFT calculation (PBE) of an optimized crystal structure of Ba3Li2Zn4.

## Properties
Density of states at the Fermi level, states/eV per atom: 0.762
SG: C2/m (12)
DFT formation energy, meV/atom: -140

Unit cell a=4.5705 b=6.5103 c=9.8050 alpha=96.91 beta=90.00 gamma=110.55
With the nearest neighbours (Å) after each atom.
Fractional coordinates of all 9 atoms:
1 Zn 0.2610 0.5220 0.9273  3 Zn 2.72-2.94, 3 Li 2.73
2 Ba 0.6157 0.2314 0.3808  6 Zn 3.47-3.65, 3 Li 3.86-3.87
3 Li 0.3120 0.6240 0.2070  5 Zn 2.70-2.73
4 Li 0.6880 0.3760 0.7930  5 Zn 2.70-2.73
5 Zn 0.1083 0.2165 0.6702  2 Li 2.70, 1 Zn 2.94
6 Ba 0.0000 0.0000 0.0000  8 Zn 3.35-3.70
7 Zn 0.8917 0.7835 0.3298  2 Li 2.70, 1 Zn 2.94
8 Zn 0.7390 0.4780 0.0727  3 Zn 2.72-2.94, 3 Li 2.73
9 Ba 0.3843 0.7686 0.6192  6 Zn 3.47-3.65, 3 Li 3.86-3.87

Please write out number 4 again, unchanged.
The following is a DFT calculation (PBE) of an optimized crystal structure of Ba4Li3Zn2.

## Properties
Density of states at the Fermi level, states/eV per atom: 0.870
SG: C2/m (12)
DFT formation energy, meV/atom: -45

Unit cell a=4.5845 b=8.2049 c=9.4908 alpha=106.80 beta=103.98 gamma=90.00
With the nearest neighbours (Å) after each atom.
Fractional coordinates of all 9 atoms:
1 Li 0.0924 0.2470 0.1848  2 Zn 2.81, 1 Li 3.05
2 Ba 0.5748 0.8573 0.1496  2 Zn 3.44-3.50, 4 Li 3.65-3.73
3 Zn 0.5992 0.4501 0.1984  4 Li 2.81-3.03
4 Ba 0.2365 0.7025 0.4729  3 Zn 3.58-3.60, 3 Li 3.82-3.89
5 Ba 0.4252 0.1427 0.8504  2 Zn 3.44-3.50, 4 Li 3.65-3.73
6 Li 0.9076 0.7530 0.8152  2 Zn 2.81, 1 Li 3.05
7 Zn 0.4008 0.5499 0.8016  4 Li 2.81-3.03
8 Ba 0.7635 0.2975 0.5271  3 Zn 3.58-3.60, 3 Li 3.82-3.89
9 Li 0.0000 0.5000 0.0000  4 Zn 3.03, 2 Li 3.05

Which of these has the lowest density of states at the Fermi level? Ba2Li5Zn4

DFT formation energy of number 3 (BaLi4Zn)? 157 meV/atom